Material: HgAuSe2
Method: DFT, SCAN
State: PBEsol geometry

a b c (Å): 4.0229 4.0229 22.9906
angles (deg): 90.00 90.00 120.00
Space group R-3m (No. 166, hexagonal axes)
Asymmetric unit:
1 Hg 0.0000 0.0000 0.0000 x3
2 Au 0.0000 0.0000 0.5000 x3
3 Se 0.0000 0.0000 0.1103 x6

Output
DOS at the Fermi energy (states/eV/f.u.): 1.9
Formation energy (no corrections) (eV per atom): 0.065
Energy (eV per atom): -44.305